The following is a DFT calculation (PBE) of SrZr2F11 after structural relaxation.

Cell lengths 7.9981, 10.3973, 11.4155 Å; angles 90.00, 90.00, 90.00 degrees
Space group Ibam (No. 72)
Asymmetric unit:
1 Sr 0.0000 0.0000 0.2500 [4 per cell]
2 Zr 0.1332 0.3207 0.0000 [8 per cell]
3 F 0.0000 0.5000 0.0000 [4 per cell]
4 F 0.1064 0.1870 0.1310 [16 per cell]
5 F 0.1273 0.2807 0.5000 [8 per cell]
6 F 0.2414 0.0800 0.3732 [16 per cell]

Calculated values
Its formation energy (no corrections) is -48.37 eV per formula unit. The density of states at the Fermi level is 13.622 states/eV/f.u. Its total magnetization is 4.70 μB/cell.